[1]
# PBE Tl2As2I, optimized geometry
# density of states at the Fermi level	2.50	states/eV/f.u.
# SG	P4/mbm
# formation energy from raw total energies	0.051	eV/atom
# energy relative to the lowest polymorph listed for this composition	0.1732	eV per atom
# total moment	0.0	μB per cell
data_Tl2As2I
_chemical_formula_sum 'Tl4 As4 I2'
_space_group_name_H-M_alt 'P 1'
_space_group_IT_number 1
_cell_length_a 9.385
_cell_length_b 9.385
_cell_length_c 4.192
_cell_angle_alpha 90.00
_cell_angle_beta 90.00
_cell_angle_gamma 90.00
loop_
_space_group_symop_operation_xyz
'x,y,z'
loop_
_atom_site_label
_atom_site_fract_x
_atom_site_fract_y
_atom_site_fract_z
_atom_site_occupancy
Tl1 0.697 0.197 0.000 1
Tl2 0.303 0.803 0.000 1
Tl3 0.803 0.697 0.000 1
Tl4 0.197 0.303 0.000 1
I1 0.500 0.500 0.000 1
I2 0.000 0.000 0.000 1
As1 0.916 0.416 0.500 1
As2 0.584 0.916 0.500 1
As3 0.084 0.584 0.500 1
As4 0.416 0.084 0.500 1


[2]
# PBE Tb2Ge3Pt4Au, optimized geometry
# density of states at the Fermi level	5.83	states/eV/f.u.
# SG	P-4m2
# E_form	-8.1	eV per formula unit
# total moment	0.0	μB per cell
data_Tb2Ge3Pt4Au
_chemical_formula_sum 'Tb2 Ge3 Pt4 Au1'
_space_group_name_H-M_alt 'P 1'
_space_group_IT_number 1
_cell_length_a 4.059
_cell_length_b 4.059
_cell_length_c 11.597
_cell_angle_alpha 90.00
_cell_angle_beta 90.00
_cell_angle_gamma 90.00
loop_
_space_group_symop_operation_xyz
'x,y,z'
loop_
_atom_site_label
_atom_site_fract_x
_atom_site_fract_y
_atom_site_fract_z
_atom_site_occupancy
Pt1 0.500 0.000 0.663 1
Pt2 0.000 0.000 0.000 1
Pt3 0.000 0.500 0.337 1
Pt4 0.500 0.500 0.000 1
Tb1 0.000 0.500 0.749 1
Tb2 0.500 0.000 0.251 1
Ge1 0.000 0.000 0.500 1
Ge2 0.000 0.500 0.131 1
Ge3 0.500 0.000 0.869 1
Au1 0.500 0.500 0.500 1


[3]
# PBE Er2Sc2S3, optimized geometry
# density of states at the Fermi level	3.32	states/eV/f.u.
# SG	C2/m
# formation energy from raw total energies	-1.650	eV/atom
# total moment	0.0	μB per cell
data_Er2Sc2S3
_chemical_formula_sum 'Er2 Sc2 S3'
_space_group_name_H-M_alt 'P 1'
_space_group_IT_number 1
_cell_length_a 3.760
_cell_length_b 8.000
_cell_length_c 6.612
_cell_angle_alpha 50.40
_cell_angle_beta 73.48
_cell_angle_gamma 76.41
loop_
_space_group_symop_operation_xyz
'x,y,z'
loop_
_atom_site_label
_atom_site_fract_x
_atom_site_fract_y
_atom_site_fract_z
_atom_site_occupancy
Er1 0.615 0.159 0.611 1
Er2 0.385 0.841 0.389 1
Sc1 0.863 0.365 0.908 1
Sc2 0.137 0.635 0.092 1
S1 0.748 0.754 0.750 1
S2 0.252 0.246 0.250 1
S3 0.000 0.000 0.000 1


[4]
# PBE BiPbO2F, optimized geometry
# density of states at the Fermi level	2.05	states/eV/f.u.
# SG	P4/mmm
# formation energy from raw total energies	-0.708	eV/atom
# total moment	0.0	μB per cell
data_BiPbO2F
_chemical_formula_sum 'Bi1 Pb1 O2 F1'
_space_group_name_H-M_alt 'P 1'
_space_group_IT_number 1
_cell_length_a 4.345
_cell_length_b 4.345
_cell_length_c 4.445
_cell_angle_alpha 90.00
_cell_angle_beta 90.00
_cell_angle_gamma 90.00
loop_
_space_group_symop_operation_xyz
'x,y,z'
loop_
_atom_site_label
_atom_site_fract_x
_atom_site_fract_y
_atom_site_fract_z
_atom_site_occupancy
F1 0.000 0.000 0.500 1
Bi1 0.500 0.500 0.500 1
Pb1 0.000 0.000 0.000 1
O1 0.000 0.500 0.000 1
O2 0.500 0.000 0.000 1


[5]
# PBE Ce2ThTl, optimized geometry
# density of states at the Fermi level	9.77	states/eV/f.u.
# SG	R3m
# energy relative to the lowest polymorph listed for this composition	0.0894	eV per atom
# E_form	0.0	eV per formula unit
# total moment	1.1	μB per cell
data_Ce2ThTl
_chemical_formula_sum 'Ce2 Th1 Tl1'
_space_group_name_H-M_alt 'P 1'
_space_group_IT_number 1
_cell_length_a 3.481
_cell_length_b 3.481
_cell_length_c 11.450
_cell_angle_alpha 81.26
_cell_angle_beta 81.26
_cell_angle_gamma 60.00
loop_
_space_group_symop_operation_xyz
'x,y,z'
loop_
_atom_site_label
_atom_site_fract_x
_atom_site_fract_y
_atom_site_fract_z
_atom_site_occupancy
Th1 0.500 0.500 0.500 1
Tl1 0.667 0.667 0.000 1
Ce1 0.252 0.252 0.245 1
Ce2 0.082 0.082 0.755 1


[6]
# PBE CaTl4Hg, optimized geometry
# density of states at the Fermi level	3.13	states/eV/f.u.
# SG	Cmc2_1
# energy relative to the lowest polymorph listed for this composition	0.0000	eV per atom
# E_form	-0.9	eV per formula unit
# total moment	0.0	μB per cell
data_CaTl4Hg
_chemical_formula_sum 'Ca2 Tl8 Hg2'
_space_group_name_H-M_alt 'P 1'
_space_group_IT_number 1
_cell_length_a 4.746
_cell_length_b 7.700
_cell_length_c 9.957
_cell_angle_alpha 90.00
_cell_angle_beta 90.00
_cell_angle_gamma 107.95
loop_
_space_group_symop_operation_xyz
'x,y,z'
loop_
_atom_site_label
_atom_site_fract_x
_atom_site_fract_y
_atom_site_fract_z
_atom_site_occupancy
Hg1 0.329 0.658 0.307 1
Hg2 0.671 0.342 0.807 1
Ca1 0.169 0.338 0.050 1
Ca2 0.831 0.662 0.550 1
Tl1 0.004 0.007 0.802 1
Tl2 0.501 0.002 0.552 1
Tl3 0.838 0.677 0.054 1
Tl4 0.996 0.993 0.302 1
Tl5 0.331 0.663 0.802 1
Tl6 0.669 0.337 0.302 1
Tl7 0.499 0.998 0.052 1
Tl8 0.162 0.323 0.554 1


[7]
# PBE Fe2TcHRh, optimized geometry
# density of states at the Fermi level	4.22	states/eV/f.u.
# SG	P4/mmm
# energy	-37.48	eV per formula unit
# total moment	0.0	μB per cell
data_Fe2TcHRh
_chemical_formula_sum 'Fe2 Tc1 H1 Rh1'
_space_group_name_H-M_alt 'P 1'
_space_group_IT_number 1
_cell_length_a 3.738
_cell_length_b 3.738
_cell_length_c 3.686
_cell_angle_alpha 90.00
_cell_angle_beta 90.00
_cell_angle_gamma 90.00
loop_
_space_group_symop_operation_xyz
'x,y,z'
loop_
_atom_site_label
_atom_site_fract_x
_atom_site_fract_y
_atom_site_fract_z
_atom_site_occupancy
Rh1 0.000 0.000 0.500 1
H1 0.000 0.000 0.000 1
Fe1 0.000 0.500 0.000 1
Fe2 0.500 0.000 0.000 1
Tc1 0.500 0.500 0.500 1


[8]
# PBE CeMn3Pd12, optimized geometry
# density of states at the Fermi level	14.12	states/eV/f.u.
# SG	P4/mmm
# E_form	-5.9	eV per formula unit
# total moment	13.0	μB per cell
data_CeMn3Pd12
_chemical_formula_sum 'Ce1 Mn3 Pd12'
_space_group_name_H-M_alt 'P 1'
_space_group_IT_number 1
_cell_length_a 4.016
_cell_length_b 4.016
_cell_length_c 15.693
_cell_angle_alpha 90.00
_cell_angle_beta 90.00
_cell_angle_gamma 90.00
loop_
_space_group_symop_operation_xyz
'x,y,z'
loop_
_atom_site_label
_atom_site_fract_x
_atom_site_fract_y
_atom_site_fract_z
_atom_site_occupancy
Pd1 0.500 0.000 0.379 1
Pd2 0.500 0.000 0.134 1
Pd3 0.000 0.500 0.379 1
Pd4 0.500 0.500 0.743 1
Pd5 0.000 0.500 0.134 1
Pd6 0.500 0.000 0.621 1
Pd7 0.000 0.500 0.621 1
Pd8 0.000 0.500 0.866 1
Pd9 0.500 0.000 0.866 1
Pd10 0.500 0.500 0.000 1
Pd11 0.500 0.500 0.500 1
Pd12 0.500 0.500 0.257 1
Mn1 0.000 0.000 0.741 1
Mn2 0.000 0.000 0.500 1
Mn3 0.000 0.000 0.259 1
Ce1 0.000 0.000 0.000 1


What is the density of states at the Fermi level in the fifth record? 9.77 states/eV/f.u.


Look up the density of states at the Fermi level of the first one. 2.50 states/eV/f.u.


Repeat the eighth record exactly.
# PBE CeMn3Pd12, optimized geometry
# density of states at the Fermi level	14.12	states/eV/f.u.
# SG	P4/mmm
# E_form	-5.9	eV per formula unit
# total moment	13.0	μB per cell
data_CeMn3Pd12
_chemical_formula_sum 'Ce1 Mn3 Pd12'
_space_group_name_H-M_alt 'P 1'
_space_group_IT_number 1
_cell_length_a 4.016
_cell_length_b 4.016
_cell_length_c 15.693
_cell_angle_alpha 90.00
_cell_angle_beta 90.00
_cell_angle_gamma 90.00
loop_
_space_group_symop_operation_xyz
'x,y,z'
loop_
_atom_site_label
_atom_site_fract_x
_atom_site_fract_y
_atom_site_fract_z
_atom_site_occupancy
Pd1 0.500 0.000 0.379 1
Pd2 0.500 0.000 0.134 1
Pd3 0.000 0.500 0.379 1
Pd4 0.500 0.500 0.743 1
Pd5 0.000 0.500 0.134 1
Pd6 0.500 0.000 0.621 1
Pd7 0.000 0.500 0.621 1
Pd8 0.000 0.500 0.866 1
Pd9 0.500 0.000 0.866 1
Pd10 0.500 0.500 0.000 1
Pd11 0.500 0.500 0.500 1
Pd12 0.500 0.500 0.257 1
Mn1 0.000 0.000 0.741 1
Mn2 0.000 0.000 0.500 1
Mn3 0.000 0.000 0.259 1
Ce1 0.000 0.000 0.000 1


Number 2 is which compound? Tb2Ge3Pt4Au